Record 1
Here is an optimized crystal structure of Rb3Dy3AlS8 from Alexandria via LeMat-Bulk. Energies are from GGA-PBE.

## Properties
* formation energy from raw total energies: -1.56 eV/atom
* calculated total energy: -5.1223 eV/atom
* total magnetic moment: 0.000 μB/f.u.

a b c (Å): 7.8774 7.8774 9.0931
angles (deg): 115.72 115.72 59.96
Fractional positions:
Rb (0.0000, 0.0000, 0.0000)
Rb (0.0000, 0.5000, 0.0000)
Rb (0.5000, 0.0000, 0.0000)
Dy (0.0000, 0.5000, 0.5000)
Dy (0.5000, 0.0000, 0.5000)
Dy (0.5000, 0.5000, 0.5000)
Al (0.0000, 0.0000, 0.5000)
S (0.2123, 0.2123, 0.6780)
S (0.2123, 0.7535, 0.6780)
S (0.2465, 0.7877, 0.3220)
S (0.2690, 0.2690, 0.3071)
S (0.7310, 0.7310, 0.6929)
S (0.7535, 0.2123, 0.6780)
S (0.7877, 0.2465, 0.3220)
S (0.7877, 0.7877, 0.3220)

Record 2
Here is an optimized crystal structure of YRePO2 from Alexandria via LeMat-Bulk. Energies are from GGA-PBE.

## Properties
* formation energy from raw total energies: -1.28 eV/atom
* energy relative to the lowest polymorph listed for this composition: 0 meV/atom
* calculated total energy: -8.1265 eV/atom
* total magnetic moment: 0.000 μB/f.u.

a b c (Å): 3.8802 3.8802 5.2134
angles (deg): 90.00 90.00 90.00
Fractional positions:
Y (0.0000, 0.0000, 0.0000)
Re (0.5000, 0.5000, 0.5000)
P (0.5000, 0.5000, 0.0000)
O (0.0000, 0.5000, 0.5000)
O (0.5000, 0.0000, 0.5000)

Record 3
Here is an optimized crystal structure of TcNi3Pt from Alexandria via LeMat-Bulk. Energies are from GGA-PBE.

## Properties
* ΔH_f (0 K): -0.026 eV per atom
* energy relative to the lowest polymorph listed for this composition: 0 meV/atom
* calculated total energy: -6.7765 eV/atom
* total magnetic moment: 0.000 μB/f.u.

a b c (Å): 5.7828 5.7828 8.6424
angles (deg): 101.09 101.09 26.52
Fractional positions:
Tc (0.1475, 0.1475, 0.4486)
Tc (0.8525, 0.8525, 0.5514)
Ni (0.0532, 0.0532, 0.1627)
Ni (0.2511, 0.2511, 0.7446)
Ni (0.4494, 0.4494, 0.3537)
Ni (0.5506, 0.5506, 0.6463)
Ni (0.7489, 0.7489, 0.2554)
Ni (0.9468, 0.9468, 0.8373)
Pt (0.3572, 0.3572, 0.0528)
Pt (0.6428, 0.6428, 0.9472)

Record 4
Here is an optimized crystal structure of Er2CdSb from Alexandria via LeMat-Bulk. Energies are from GGA-PBE.

## Properties
* formation energy from raw total energies: -0.51 eV/atom
* energy relative to the lowest polymorph listed for this composition: 62 meV/atom
* calculated total energy: -4.0522 eV/atom
* total magnetic moment: 0.000 μB/f.u.

a b c (Å): 8.1394 8.1394 8.1394
angles (deg): 29.63 29.63 29.63
Fractional positions:
Er (0.2444, 0.2444, 0.2444)
Er (0.7556, 0.7556, 0.7556)
Cd (0.0000, 0.0000, 0.0000)
Sb (0.5000, 0.5000, 0.5000)

Record 5
Here is an optimized crystal structure of LiH6IrPb2 from Alexandria via LeMat-Bulk. Energies are from GGA-PBE.

## Properties
* calculated total energy: -3.8434 eV/atom
* total magnetic moment: 0.000 μB/f.u.

a b c (Å): 5.2889 5.2889 5.2094
angles (deg): 90.00 90.00 120.00
Fractional positions:
Li (0.0000, 0.0000, 0.0000)
H (0.1456, 0.2911, 0.7060)
H (0.1456, 0.8544, 0.7060)
H (0.2911, 0.1456, 0.2940)
H (0.7089, 0.8544, 0.7060)
H (0.8544, 0.1456, 0.2940)
H (0.8544, 0.7089, 0.2940)
Ir (0.0000, 0.0000, 0.5000)
Pb (0.3333, 0.6667, 0.2759)
Pb (0.6667, 0.3333, 0.7241)

Record 6
Here is an optimized crystal structure of LaZnRu2 from Alexandria via LeMat-Bulk. Energies are from GGA-PBE.

## Properties
* ΔH_f (0 K): 0.271 eV per atom
* calculated total energy: -5.9176 eV/atom
* total magnetic moment: 0.876 μB/f.u.

a b c (Å): 4.7049 4.7049 4.7049
angles (deg): 60.00 60.00 60.00
Fractional positions:
La (0.0000, 0.0000, 0.0000)
Zn (0.7500, 0.7500, 0.7500)
Ru (0.2500, 0.2500, 0.2500)
Ru (0.5000, 0.5000, 0.5000)